Entry 1:
# TbGa7Cu12 (PBE, optimized geometry)
# Size of the total moment (Bohr magnetons per cell): 0.000
# Density of states at the Fermi level (states/eV/atom): 0.378
# ΔH_f (0 K) (eV/f.u.): -1.29
# DFT total energy (Ry/atom): -0.28026
data_TbGa7Cu12
_chemical_formula_sum 'Tb3 Ga21 Cu36'
_symmetry_space_group_name_H-M 'R -3 m'
_symmetry_Int_Tables_number 166
_symmetry_space_group_name_Hall '-R 3 2"'
_cell_length_a 12.6016
_cell_length_b 12.6016
_cell_length_c 6.3973
_cell_angle_alpha 90.00
_cell_angle_beta 90.00
_cell_angle_gamma 120.00
loop_
_atom_site_label
_atom_site_type_symbol
_atom_site_fract_x
_atom_site_fract_y
_atom_site_fract_z
Tb1 Tb 0.0000 0.0000 0.0000
Ga1 Ga 0.0000 0.0000 0.5000
Ga2 Ga 0.1031 0.5515 0.3623
Cu1 Cu 0.0000 0.2706 0.0000
Cu2 Cu 0.1071 0.5535 0.9508



Entry 2:
# Er3PdPb2 (PBE, optimized geometry)
# Size of the total moment (Bohr magnetons per cell): 0.000
# Density of states at the Fermi level (states/eV/atom): 0.628
# ΔH_f (0 K) (eV/f.u.): -3.58
# DFT total energy (Ry/atom): -0.36597
data_Er3PdPb2
_chemical_formula_sum 'Er12 Pd4 Pb8'
_symmetry_space_group_name_H-M 'P n m a'
_symmetry_Int_Tables_number 62
_cell_length_a 12.218
_cell_length_b 4.548
_cell_length_c 11.529
_cell_angle_alpha 90.00
_cell_angle_beta 90.00
_cell_angle_gamma 90.00
loop_
_symmetry_equiv_pos_as_xyz
'x,y,z'
'-x,-y,-z'
'-x+1/2,-y,z+1/2'
'x+1/2,y,-z+1/2'
'x+1/2,-y+1/2,-z+1/2'
'-x+1/2,y+1/2,z+1/2'
'-x,y+1/2,-z'
'x,-y+1/2,z'
loop_
_atom_site_label
_atom_site_type_symbol
_atom_site_fract_x
_atom_site_fract_y
_atom_site_fract_z
Er1 Er 0.055 0.250 0.132
Er2 Er 0.127 0.750 0.555
Er3 Er 0.239 0.250 0.796
Pd1 Pd 0.122 0.250 0.375
Pb1 Pb 0.005 0.250 0.691
Pb2 Pb 0.181 0.750 0.004